Computed, not measured: a relaxed structure of AlPAu2 at the GGA-PBE level of DFT.

Lattice parameters (Å, degrees): 3.5574 3.5600 5.4101 90.00 90.00 90.00
Closest atoms and distances in Å follow each position.
Atoms (fractional coordinates):
P: 0.5000 0.5000 0.2500  2 Al 2.71, 8 Au 2.87
Au: 0.0000 0.0000 0.9968  2 Au 2.67-2.74, 4 Al 2.85, 4 P 2.87
Au: 0.0000 0.0000 0.5032  2 Au 2.67-2.74, 4 Al 2.85, 4 P 2.87
Al: 0.5000 0.5000 0.7500  2 P 2.71, 8 Au 2.85

Results
Magnetic moment (μB per formula unit): 0.0
ρ (g/cm3): 10.952
DFT formation energy (eV/atom): 0.0637
Raw total energy (eV per cell): -15.5